Compound: Cu2NiIr
Source: Alexandria via LeMat-Bulk
Functional: PBE
Structure: relaxed

For the energy of formation, the calculation gives 21.0 kJ/mol of atoms. The value obtained for the excess energy over the best structure of this formula in the dataset is 16.0 kJ/mol of atoms. The value obtained for the spin magnetization is 4.7 Bohr magnetons per cell. As for the calculated total energy: -5.491 eV per atom.

The structure belongs to space group Fm-3m (No. 225); the cell edges are 5.850, 5.850 and 5.850 Å and the angles 90.00°, 90.00° and 90.00°. The asymmetric unit holds Cu at (0.250, 0.250, 0.250), Ni at (0.000, 0.000, 0.000) and Ir at (0.000, 0.000, 0.500).